[1]
# CaTlCd2 | Alexandria via LeMat-Bulk | GGA-PBEsol | optimized geometry
# E above lowest polymorph, kJ/mol of formula units: 24
# ΔH_f (0 K), meV/atom: -203
# D(E_F), states/eV/atom: 0.4514
# Volume, A^3/atom: 24.43
# VASP energy, eV per atom: -1.992
data_CaTlCd2
_cell_length_a 3.537
_cell_length_b 3.537
_cell_length_c 7.811
_cell_angle_alpha 90.00
_cell_angle_beta 90.00
_cell_angle_gamma 90.00
_space_group_name_H-M_alt 'P 4 m m'
_space_group_IT_number 99
loop_
_space_group_symop_operation_xyz
'x,y,z'
'-y,x,z'
'-x,-y,z'
'y,-x,z'
'-x,y,z'
'y,x,z'
'x,-y,z'
'-y,-x,z'
loop_
_atom_site_label
_atom_site_type_symbol
_atom_site_fract_x
_atom_site_fract_y
_atom_site_fract_z
Ca1 Ca 0.000 0.000 0.000
Tl1 Tl 0.500 0.500 0.720
Cd1 Cd 0.000 0.000 0.473
Cd2 Cd 0.500 0.500 0.262



[2]
# TcAg | Alexandria via LeMat-Bulk | GGA-PBEsol | optimized geometry
# E above lowest polymorph, kJ/mol of formula units: 58
# ΔH_f (0 K), meV/atom: 566
# D(E_F), states/eV/atom: 0.8312
# Volume, A^3/atom: 14.92
# VASP energy, eV per atom: -6.723
data_TcAg
_cell_length_a 3.941
_cell_length_b 3.941
_cell_length_c 7.688
_cell_angle_alpha 90.00
_cell_angle_beta 90.00
_cell_angle_gamma 90.00
_space_group_name_H-M_alt 'I 41/a m d'
_space_group_IT_number 141
loop_
_space_group_symop_operation_xyz
'x,y,z'
'-x,-y,-z'
'-y+1/4,x+3/4,z+1/4'
'y+1/4,-x+3/4,-z+1/4'
'-x+1/2,-y,z+1/2'
'x+1/2,y,-z+1/2'
'y+1/4,-x+1/4,z+3/4'
'-y+1/4,x+1/4,-z+3/4'
'x,-y,-z'
'-x,y,z'
'-y+1/4,-x+1/4,-z+3/4'
'y+1/4,x+1/4,z+3/4'
'-x+1/2,y,-z+1/2'
'x+1/2,-y,z+1/2'
'y+1/4,x+3/4,-z+1/4'
'-y+1/4,-x+3/4,z+1/4'
'x+1/2,y+1/2,z+1/2'
'-x+1/2,-y+1/2,-z+1/2'
'-y+3/4,x+1/4,z+3/4'
'y+3/4,-x+1/4,-z+3/4'
'-x,-y+1/2,z'
'x,y+1/2,-z'
'y+3/4,-x+3/4,z+1/4'
'-y+3/4,x+3/4,-z+1/4'
'x+1/2,-y+1/2,-z+1/2'
'-x+1/2,y+1/2,z+1/2'
'-y+3/4,-x+3/4,-z+1/4'
'y+3/4,x+3/4,z+1/4'
'-x,y+1/2,-z'
'x,-y+1/2,z'
'y+3/4,x+1/4,-z+3/4'
'-y+3/4,-x+1/4,z+3/4'
loop_
_atom_site_label
_atom_site_type_symbol
_atom_site_fract_x
_atom_site_fract_y
_atom_site_fract_z
Tc1 Tc 0.000 0.250 0.375
Ag1 Ag 0.000 0.250 0.875



[3]
# InSiTc2 | Alexandria via LeMat-Bulk | GGA-PBEsol | optimized geometry
# E above lowest polymorph, kJ/mol of formula units: 200
# D(E_F), states/eV/atom: 1.1799
# Volume, A^3/atom: 15.18
# VASP energy, eV per atom: -7.426
data_InSiTc2
_cell_length_a 6.239
_cell_length_b 6.239
_cell_length_c 6.239
_cell_angle_alpha 90.00
_cell_angle_beta 90.00
_cell_angle_gamma 90.00
_space_group_name_H-M_alt 'F -4 3 m'
_space_group_IT_number 216
_space_group_name_Hall 'F -4 2 3'
loop_
_atom_site_label
_atom_site_type_symbol
_atom_site_fract_x
_atom_site_fract_y
_atom_site_fract_z
In1 In 0.000 0.000 0.000
Si1 Si 0.250 0.250 0.750
Tc1 Tc 0.000 0.000 0.500
Tc2 Tc 0.250 0.250 0.250



[4]
# TlCuSb | Alexandria via LeMat-Bulk | GGA-PBEsol | optimized geometry
# E above lowest polymorph, kJ/mol of formula units: 0
# D(E_F), states/eV/atom: 0.4196
# Volume, A^3/atom: 22.23
# VASP energy, eV per atom: -3.652
data_TlCuSb
_cell_length_a 3.225
_cell_length_b 3.225
_cell_length_c 12.819
_cell_angle_alpha 90.00
_cell_angle_beta 90.00
_cell_angle_gamma 90.00
_space_group_name_H-M_alt 'I 4 m m'
_space_group_IT_number 107
_space_group_name_Hall 'I 4 -2'
loop_
_atom_site_label
_atom_site_type_symbol
_atom_site_fract_x
_atom_site_fract_y
_atom_site_fract_z
Tl1 Tl 0.000 0.000 0.000
Cu1 Cu 0.000 0.000 0.342
Sb1 Sb 0.000 0.000 0.725



[5]
# Nd7In6Ni5Ge3 | Alexandria via LeMat-Bulk | GGA-PBEsol | optimized geometry
# ΔH_f (0 K), meV/atom: -639
# D(E_F), states/eV/atom: 0.5672
# Volume, A^3/atom: 21.37
# VASP energy, eV per atom: -5.385
data_Nd7In6Ni5Ge3
_cell_length_a 11.2414
_cell_length_b 11.2414
_cell_length_c 4.1005
_cell_angle_alpha 90.00
_cell_angle_beta 90.00
_cell_angle_gamma 120.00
_space_group_name_H-M_alt 'P -6'
_space_group_IT_number 174
loop_
_space_group_symop_operation_xyz
'x,y,z'
'-x+y,-x,-z'
'-y,x-y,z'
'x,y,-z'
'-x+y,-x,z'
'-y,x-y,-z'
loop_
_atom_site_label
_atom_site_type_symbol
_atom_site_fract_x
_atom_site_fract_y
_atom_site_fract_z
Nd1 Nd 0.0000 0.0000 0.0000
Nd2 Nd 0.0858 0.7066 0.0000
Nd3 Nd 0.3791 0.0746 0.0000
In1 In 0.1648 0.5154 0.5000
In2 In 0.5188 0.3559 0.5000
Ni1 Ni 0.0825 0.2475 0.5000
Ni2 Ni 0.3333 0.6667 0.0000
Ni3 Ni 0.6667 0.3333 0.0000
Ge1 Ge 0.2313 0.1538 0.5000



[6]
# Ba3SrI8 | Alexandria via LeMat-Bulk | GGA-PBEsol | optimized geometry
# D(E_F), states/eV/atom: 0.0000
# Volume, A^3/atom: 44.65
# VASP energy, eV per atom: -3.611
data_Ba3SrI8
_cell_length_a 8.122
_cell_length_b 8.122
_cell_length_c 16.245
_cell_angle_alpha 90.00
_cell_angle_beta 90.00
_cell_angle_gamma 90.00
_space_group_name_H-M_alt 'I 4/m m m'
_space_group_IT_number 139
_space_group_name_Hall '-I 4 2'
loop_
_atom_site_label
_atom_site_type_symbol
_atom_site_fract_x
_atom_site_fract_y
_atom_site_fract_z
Ba1 Ba 0.000 0.000 0.000
Ba2 Ba 0.000 0.500 0.250
Sr1 Sr 0.000 0.000 0.500
I1 I 0.245 0.245 0.377



[7]
# TaCuAs2 | Alexandria via LeMat-Bulk | GGA-PBEsol | optimized geometry
# ΔH_f (0 K), meV/atom: -154
# D(E_F), states/eV/atom: 0.3415
# Volume, A^3/atom: 15.95
# VASP energy, eV per atom: -6.928
data_TaCuAs2
_cell_length_a 3.486
_cell_length_b 3.486
_cell_length_c 5.250
_cell_angle_alpha 90.00
_cell_angle_beta 90.00
_cell_angle_gamma 90.00
_space_group_name_H-M_alt 'P 4 m m'
_space_group_IT_number 99
loop_
_space_group_symop_operation_xyz
'x,y,z'
'-y,x,z'
'-x,-y,z'
'y,-x,z'
'-x,y,z'
'y,x,z'
'x,-y,z'
'-y,-x,z'
loop_
_atom_site_label
_atom_site_type_symbol
_atom_site_fract_x
_atom_site_fract_y
_atom_site_fract_z
Ta1 Ta 0.000 0.000 0.000
Cu1 Cu 0.500 0.500 0.687
As1 As 0.000 0.000 0.530
As2 As 0.500 0.500 0.175



[8]
# SrScAs2 | Alexandria via LeMat-Bulk | GGA-PBEsol | optimized geometry
# ΔH_f (0 K), meV/atom: -745
# D(E_F), states/eV/atom: 0.5877
# Volume, A^3/atom: 22.46
# VASP energy, eV per atom: -5.409
data_SrScAs2
_cell_length_a 4.911
_cell_length_b 4.911
_cell_length_c 3.725
_cell_angle_alpha 90.00
_cell_angle_beta 90.00
_cell_angle_gamma 90.00
_space_group_name_H-M_alt 'P 4/m m m'
_space_group_IT_number 123
_space_group_name_Hall '-P 4 2'
loop_
_atom_site_label
_atom_site_type_symbol
_atom_site_fract_x
_atom_site_fract_y
_atom_site_fract_z
Sr1 Sr 0.000 0.000 0.000
Sc1 Sc 0.500 0.500 0.000
As1 As 0.000 0.500 0.500



[9]
# HfMnSi | Alexandria via LeMat-Bulk | GGA-PBEsol | optimized geometry
# D(E_F), states/eV/atom: 0.6223
# Volume, A^3/atom: 14.57
# VASP energy, eV per atom: -9.383
data_HfMnSi
_cell_length_a 6.441
_cell_length_b 3.622
_cell_length_c 7.495
_cell_angle_alpha 90.00
_cell_angle_beta 90.00
_cell_angle_gamma 90.00
_space_group_name_H-M_alt 'P n m a'
_space_group_IT_number 62
loop_
_space_group_symop_operation_xyz
'x,y,z'
'-x,-y,-z'
'-x+1/2,-y,z+1/2'
'x+1/2,y,-z+1/2'
'x+1/2,-y+1/2,-z+1/2'
'-x+1/2,y+1/2,z+1/2'
'-x,y+1/2,-z'
'x,-y+1/2,z'
loop_
_atom_site_label
_atom_site_type_symbol
_atom_site_fract_x
_atom_site_fract_y
_atom_site_fract_z
Hf1 Hf 0.027 0.250 0.180
Mn1 Mn 0.143 0.250 0.566
Si1 Si 0.225 0.750 0.378



[10]
# Sr2HgPtN | Alexandria via LeMat-Bulk | GGA-PBEsol | optimized geometry
# D(E_F), states/eV/atom: 0.6428
# Volume, A^3/atom: 26.83
# VASP energy, eV per atom: -4.222
data_Sr2HgPtN
_cell_length_a 5.993
_cell_length_b 5.993
_cell_length_c 3.735
_cell_angle_alpha 90.00
_cell_angle_beta 90.00
_cell_angle_gamma 90.00
_space_group_name_H-M_alt 'P 4/m m m'
_space_group_IT_number 123
_space_group_name_Hall '-P 4 2'
loop_
_atom_site_label
_atom_site_type_symbol
_atom_site_fract_x
_atom_site_fract_y
_atom_site_fract_z
Sr1 Sr 0.000 0.500 0.000
Hg1 Hg 0.000 0.000 0.500
Pt1 Pt 0.500 0.500 0.000
N1 N 0.500 0.500 0.500



[11]
# NaGaGeO4 | Alexandria via LeMat-Bulk | GGA-PBEsol | optimized geometry
# D(E_F), states/eV/atom: 0.0000
# Volume, A^3/atom: 13.74
# VASP energy, eV per atom: -6.222
data_NaGaGeO4
_cell_length_a 8.890
_cell_length_b 8.295
_cell_length_c 17.978
_cell_angle_alpha 90.00
_cell_angle_beta 119.45
_cell_angle_gamma 90.00
_space_group_name_H-M_alt 'P 1 21/c 1'
_space_group_IT_number 14
loop_
_space_group_symop_operation_xyz
'x,y,z'
'-x,-y,-z'
'-x,y+1/2,-z+1/2'
'x,-y+1/2,z+1/2'
loop_
_atom_site_label
_atom_site_type_symbol
_atom_site_fract_x
_atom_site_fract_y
_atom_site_fract_z
Na1 Na 0.005 0.044 0.246
Na2 Na 0.289 0.527 0.566
Na3 Na 0.356 0.535 0.091
Ga1 Ga 0.032 0.219 0.421
Ga2 Ga 0.314 0.219 0.233
Ga3 Ga 0.348 0.724 0.409
Ge1 Ge 0.024 0.670 0.923
Ge2 Ge 0.313 0.671 0.736
Ge3 Ge 0.351 0.166 0.908
O1 O 0.081 0.728 0.520
O2 O 0.111 0.727 0.367
O3 O 0.120 0.718 0.195
O4 O 0.130 0.018 0.452
O5 O 0.201 0.144 0.641
O6 O 0.214 0.142 0.952
O7 O 0.232 0.236 0.309
O8 O 0.249 0.018 0.184
O9 O 0.407 0.640 0.846
O10 O 0.414 0.525 0.390
O11 O 0.451 0.740 0.203
O12 O 0.456 0.730 0.024



[12]
# Tl2AgSb | Alexandria via LeMat-Bulk | GGA-PBEsol | optimized geometry
# E above lowest polymorph, kJ/mol of formula units: 36
# D(E_F), states/eV/atom: 0.2681
# Volume, A^3/atom: 25.22
# VASP energy, eV per atom: -3.124
data_Tl2AgSb
_cell_length_a 7.389
_cell_length_b 7.389
_cell_length_c 7.389
_cell_angle_alpha 90.00
_cell_angle_beta 90.00
_cell_angle_gamma 90.00
_space_group_name_H-M_alt 'F m -3 m'
_space_group_IT_number 225
_space_group_name_Hall '-F 4 2 3'
loop_
_atom_site_label
_atom_site_type_symbol
_atom_site_fract_x
_atom_site_fract_y
_atom_site_fract_z
Tl1 Tl 0.250 0.250 0.250
Ag1 Ag 0.000 0.000 0.000
Sb1 Sb 0.000 0.000 0.500



[13]
# LaNi3 | Alexandria via LeMat-Bulk | GGA-PBEsol | optimized geometry
# ΔH_f (0 K), meV/atom: 300
# D(E_F), states/eV/atom: 1.7226
# Volume, A^3/atom: 16.94
# VASP energy, eV per atom: -5.655
data_LaNi3
_cell_length_a 3.6133
_cell_length_b 3.6133
_cell_length_c 5.9937
_cell_angle_alpha 90.00
_cell_angle_beta 90.00
_cell_angle_gamma 120.00
_space_group_name_H-M_alt 'P -6 m 2'
_space_group_IT_number 187
_space_group_name_Hall 'P -6 2'
loop_
_atom_site_label
_atom_site_type_symbol
_atom_site_fract_x
_atom_site_fract_y
_atom_site_fract_z
La1 La 0.0000 0.0000 0.0000
Ni1 Ni 0.0000 0.0000 0.5000
Ni2 Ni 0.6667 0.3333 0.3084



[14]
# LiAlRh2 | Alexandria via LeMat-Bulk | GGA-PBEsol | optimized geometry
# ΔH_f (0 K), meV/atom: -418
# D(E_F), states/eV/atom: 0.5307
# Volume, A^3/atom: 13.02
# VASP energy, eV per atom: -6.002
data_LiAlRh2
_cell_length_a 2.707
_cell_length_b 3.926
_cell_length_c 4.925
_cell_angle_alpha 90.00
_cell_angle_beta 95.75
_cell_angle_gamma 90.00
_space_group_name_H-M_alt 'P 1 2/m 1'
_space_group_IT_number 10
loop_
_space_group_symop_operation_xyz
'x,y,z'
'-x,-y,-z'
'-x,y,-z'
'x,-y,z'
loop_
_atom_site_label
_atom_site_type_symbol
_atom_site_fract_x
_atom_site_fract_y
_atom_site_fract_z
Li1 Li 0.000 0.000 0.000
Al1 Al 0.500 0.000 0.500
Rh1 Rh 0.236 0.500 0.756



[15]
# BaScCu2 | Alexandria via LeMat-Bulk | GGA-PBEsol | optimized geometry
# E above lowest polymorph, kJ/mol of formula units: 0
# ΔH_f (0 K), meV/atom: 256
# D(E_F), states/eV/atom: 0.8219
# Volume, A^3/atom: 22.21
# VASP energy, eV per atom: -4.099
data_BaScCu2
_cell_length_a 7.083
_cell_length_b 7.083
_cell_length_c 7.083
_cell_angle_alpha 90.00
_cell_angle_beta 90.00
_cell_angle_gamma 90.00
_space_group_name_H-M_alt 'F m -3 m'
_space_group_IT_number 225
_space_group_name_Hall '-F 4 2 3'
loop_
_atom_site_label
_atom_site_type_symbol
_atom_site_fract_x
_atom_site_fract_y
_atom_site_fract_z
Ba1 Ba 0.000 0.000 0.000
Sc1 Sc 0.000 0.000 0.500
Cu1 Cu 0.250 0.250 0.250



[16]
# TePPtN2 | Alexandria via LeMat-Bulk | GGA-PBEsol | optimized geometry
# D(E_F), states/eV/atom: 0.7685
# Volume, A^3/atom: 15.54
# VASP energy, eV per atom: -5.715
data_TePPtN2
_cell_length_a 3.528
_cell_length_b 3.528
_cell_length_c 6.241
_cell_angle_alpha 90.00
_cell_angle_beta 90.00
_cell_angle_gamma 90.00
_space_group_name_H-M_alt 'P 4/m m m'
_space_group_IT_number 123
_space_group_name_Hall '-P 4 2'
loop_
_atom_site_label
_atom_site_type_symbol
_atom_site_fract_x
_atom_site_fract_y
_atom_site_fract_z
Te1 Te 0.000 0.000 0.000
P1 P 0.000 0.000 0.500
Pt1 Pt 0.500 0.500 0.000
N1 N 0.000 0.500 0.500



[17]
# MoIrPt2 | Alexandria via LeMat-Bulk | GGA-PBEsol | optimized geometry
# E above lowest polymorph, kJ/mol of formula units: 0
# ΔH_f (0 K), meV/atom: -253
# D(E_F), states/eV/atom: 0.7977
# Volume, A^3/atom: 14.69
# VASP energy, eV per atom: -9.133
data_MoIrPt2
_cell_length_a 2.732
_cell_length_b 3.896
_cell_length_c 5.520
_cell_angle_alpha 90.00
_cell_angle_beta 90.00
_cell_angle_gamma 90.00
_space_group_name_H-M_alt 'P m m 2'
_space_group_IT_number 25
loop_
_space_group_symop_operation_xyz
'x,y,z'
'-x,-y,z'
'-x,y,z'
'x,-y,z'
loop_
_atom_site_label
_atom_site_type_symbol
_atom_site_fract_x
_atom_site_fract_y
_atom_site_fract_z
Mo1 Mo 0.000 0.000 0.000
Ir1 Ir 0.500 0.500 0.769
Pt1 Pt 0.000 0.000 0.511
Pt2 Pt 0.500 0.500 0.255



[18]
# BaLaAl2 | Alexandria via LeMat-Bulk | GGA-PBEsol | optimized geometry
# E above lowest polymorph, kJ/mol of formula units: 0
# ΔH_f (0 K), meV/atom: -175
# D(E_F), states/eV/atom: 0.7434
# Volume, A^3/atom: 29.89
# VASP energy, eV per atom: -4.094
data_BaLaAl2
_cell_length_a 3.915
_cell_length_b 3.915
_cell_length_c 7.800
_cell_angle_alpha 90.00
_cell_angle_beta 90.00
_cell_angle_gamma 90.00
_space_group_name_H-M_alt 'P 4/m m m'
_space_group_IT_number 123
_space_group_name_Hall '-P 4 2'
loop_
_atom_site_label
_atom_site_type_symbol
_atom_site_fract_x
_atom_site_fract_y
_atom_site_fract_z
Ba1 Ba 0.000 0.000 0.000
La1 La 0.000 0.000 0.500
Al1 Al 0.500 0.500 0.289



[19]
# CaSi2Sb | Alexandria via LeMat-Bulk | GGA-PBEsol | optimized geometry
# D(E_F), states/eV/atom: 0.3796
# Volume, A^3/atom: 22.59
# VASP energy, eV per atom: -4.700
data_CaSi2Sb
_cell_length_a 9.895
_cell_length_b 3.625
_cell_length_c 5.387
_cell_angle_alpha 90.00
_cell_angle_beta 110.74
_cell_angle_gamma 90.00
_space_group_name_H-M_alt 'C 1 2/m 1'
_space_group_IT_number 12
loop_
_space_group_symop_operation_xyz
'x,y,z'
'-x,-y,-z'
'-x,y,-z'
'x,-y,z'
'x+1/2,y+1/2,z'
'-x+1/2,-y+1/2,-z'
'-x+1/2,y+1/2,-z'
'x+1/2,-y+1/2,z'
loop_
_atom_site_label
_atom_site_type_symbol
_atom_site_fract_x
_atom_site_fract_y
_atom_site_fract_z
Ca1 Ca 0.000 0.000 0.000
Si1 Si 0.245 0.000 0.654
Sb1 Sb 0.000 0.500 0.500



[20]
# Na2MgCdSb | Alexandria via LeMat-Bulk | GGA-PBEsol | optimized geometry
# D(E_F), states/eV/atom: 0.6375
# Volume, A^3/atom: 34.47
# VASP energy, eV per atom: -1.772
data_Na2MgCdSb
_cell_length_a 5.654
_cell_length_b 5.654
_cell_length_c 5.392
_cell_angle_alpha 90.00
_cell_angle_beta 90.00
_cell_angle_gamma 90.00
_space_group_name_H-M_alt 'P 4/m m m'
_space_group_IT_number 123
_space_group_name_Hall '-P 4 2'
loop_
_atom_site_label
_atom_site_type_symbol
_atom_site_fract_x
_atom_site_fract_y
_atom_site_fract_z
Na1 Na 0.000 0.500 0.000
Mg1 Mg 0.000 0.000 0.500
Cd1 Cd 0.500 0.500 0.000
Sb1 Sb 0.500 0.500 0.500